Compound: TaTlS2
Source: Alexandria via LeMat-Bulk
Functional: PBE
Structure: relaxed

```
TaTlS2
1.0
-2.511 -5.744 -2.397
-0.210 0.475 -6.821
5.764 1.369 -3.419
Tl S Ta
2 4 2
Cartesian
0.195 -3.345 -9.234
2.847 -0.554 -3.402
-0.212 -0.519 -1.743
2.989 -1.015 -6.889
3.255 -3.381 -10.893
0.054 -2.885 -5.747
2.392 -3.161 -6.075
0.651 -0.739 -6.561
```

Results
total magnetic moment = 0.00 Bohr magnetons per cell
uncorrected formation energy = -0.558 eV/atom

***

Compound: NaLi3Tl
Source: Alexandria via LeMat-Bulk
Functional: PBE
Structure: relaxed

```
NaLi3Tl
1.0
5.276 0.000 0.000
0.000 5.276 0.000
0.000 0.000 5.276
Na Tl Li
1 1 3
Cartesian
2.638 2.638 2.638
0.000 0.000 0.000
0.000 2.638 0.000
0.000 0.000 2.638
2.638 0.000 0.000
```

Results
distance to the lowest polymorph of the same formula = 190 meV/atom
total magnetic moment = 0.00 Bohr magnetons per cell
energy of formation = 0.0632 eV/atom

***

Compound: KLi2Pa2Se6
Source: Alexandria via LeMat-Bulk
Functional: PBE
Structure: relaxed

```
KLi2Pa2Se6
1.0
-2.696 -6.130 -3.000
6.862 -7.408 -0.044
-5.949 0.960 3.423
K Li Pa Se
1 2 2 6
Cartesian
-4.323 -2.585 0.211
0.163 -5.322 1.759
-1.946 -7.256 -1.380
-4.917 -6.778 0.338
3.134 -5.800 0.041
-2.312 -6.740 1.432
-0.329 -9.637 -1.495
-4.723 0.046 2.222
-1.455 -2.941 1.874
2.940 -12.624 -1.843
0.528 -5.838 -1.053
```

Results
total magnetic moment = 1.07 Bohr magnetons per cell
uncorrected formation energy = -1.324 eV/atom

***

Compound: TbTc7N12
Source: Alexandria via LeMat-Bulk
Functional: PBE
Structure: relaxed

```
TbTc7N12
1.0
-5.185 1.280 3.884
-0.294 -6.264 -2.071
5.582 0.934 3.402
Tb Tc N
1 7 12
Cartesian
0.000 0.000 0.000
0.199 1.107 3.643
-2.740 -2.492 0.907
2.644 -2.665 0.666
2.791 0.467 1.701
-2.593 0.640 1.942
0.051 -2.025 2.608
-0.147 -3.132 -1.035
1.079 -0.287 2.472
-1.130 -4.620 -0.081
-0.977 -3.762 2.743
1.233 0.571 5.296
-1.606 -1.125 1.875
-3.729 -3.056 2.577
1.709 -2.925 3.340
3.832 -0.994 2.638
-2.573 0.551 3.963
2.676 -4.600 1.252
0.627 -2.535 0.736
-0.524 -1.515 4.479
```

Results
total magnetic moment = 7.49 Bohr magnetons per cell
uncorrected formation energy = 0.324 eV/atom